Entry 1:
DFT (PBE-GGA) results for a relaxed structure of TlTcF5.

## Properties
Space-group type: C2/c (15)
Raw total energy: -5.219 eV/atom
Uncorrected formation energy: -2063 meV/atom

Cell lengths 6.2841, 6.2841, 7.9298 Å; angles 73.57, 73.57, 76.35 degrees
Last column: nearest neighbours and their distance in Å.
Element x y z (fractional)
Tl1 0.5230 0.4770 0.7500  6 F 2.72-2.97
Tl2 0.4770 0.5230 0.2500  6 F 2.72-2.97
Tc1 0.0000 0.0000 0.0000  6 F 1.94-2.04
Tc2 0.0000 0.0000 0.5000  6 F 1.94-2.04
F1 0.2536 0.1585 0.8968  1 Tc 1.94
F2 0.2817 0.7955 0.5256  1 Tc 1.95
F3 0.1585 0.2536 0.3968  1 Tc 1.94
F4 0.9381 0.0619 0.7500  2 Tc 2.04
F5 0.2045 0.7183 0.9744  1 Tc 1.95
F6 0.7955 0.2817 0.0256  1 Tc 1.95
F7 0.0619 0.9381 0.2500  2 Tc 2.04
F8 0.8415 0.7464 0.6032  1 Tc 1.94
F9 0.7183 0.2045 0.4744  1 Tc 1.95
F10 0.7464 0.8415 0.1032  1 Tc 1.94

Entry 2:
DFT (PBE-GGA) results for a relaxed structure of Ce5GaHg.

## Properties
Space-group type: C2/c (15)
Raw total energy: -4.831 eV/atom
ΔE_f: -0.117 eV/atom

Cell lengths 6.0020, 6.0020, 10.7971 Å; angles 105.51, 105.51, 93.06 degrees
Last column: nearest neighbours and their distance in Å.
Element x y z (fractional)
Ce1 0.9282 0.6132 0.1726  3 Ce 3.03-3.11, 2 Ga 3.12-3.21
Ce2 0.2419 0.5133 0.4800  6 Ce 3.03-3.17, 2 Ga 3.12, 1 Hg 3.31
Ce3 0.6132 0.9282 0.6726  3 Ce 3.03-3.11, 2 Ga 3.12-3.21
Ce4 0.8203 0.1797 0.2500  6 Ce 3.03-3.17, 2 Hg 3.12, 1 Ga 3.19
Ce5 0.4867 0.7581 0.0200  6 Ce 3.03-3.17, 2 Ga 3.12, 1 Hg 3.31
Ce6 0.5133 0.2419 0.9800  6 Ce 3.03-3.17, 2 Ga 3.12, 1 Hg 3.31
Ce7 0.1797 0.8203 0.7500  6 Ce 3.03-3.17, 2 Hg 3.12, 1 Ga 3.19
Ce8 0.3868 0.0718 0.3274  3 Ce 3.03-3.11, 2 Ga 3.12-3.21
Ce9 0.7581 0.4867 0.5200  6 Ce 3.03-3.17, 2 Ga 3.12, 1 Hg 3.31
Ce10 0.0718 0.3868 0.8274  3 Ce 3.03-3.11, 2 Ga 3.12-3.21
Ga1 0.4545 0.5455 0.2500  9 Ce 3.12-3.21
Ga2 0.5455 0.4545 0.7500  9 Ce 3.12-3.21
Hg1 0.0000 0.0000 0.0000  8 Ce 3.12-3.42
Hg2 0.0000 0.0000 0.5000  8 Ce 3.12-3.42

Entry 3:
DFT (PBE-GGA) results for a relaxed structure of ZrCdPt.

## Properties
Space-group type: Fmmm (69)
Raw total energy: -5.649 eV/atom
ΔE_f: -0.481 eV/atom

Cell lengths 6.4115, 4.8443, 6.5109 Å; angles 70.98, 60.50, 48.57 degrees
Last column: nearest neighbours and their distance in Å.
Element x y z (fractional)
Zr1 0.7500 0.5000 0.5000  4 Pt 2.75
Zr2 0.2500 0.5000 0.5000  4 Pt 2.75
Cd1 0.8164 0.3673 0.0000  1 Cd 2.67, 2 Pt 2.76
Cd2 0.1836 0.6327 0.0000  1 Cd 2.67, 2 Pt 2.76
Pt1 0.6356 0.0000 0.7288  4 Zr 2.75, 2 Cd 2.76, 1 Pt 3.07
Pt2 0.3644 0.0000 0.2712  4 Zr 2.75, 2 Cd 2.76, 1 Pt 3.07